# 1
Entry from the Alexandria database: a geometry-optimized La2SnAu3 structure (PBE-GGA).

The structure in POSCAR format:
```
La2SnAu3
1.0
-0.027 0.268 -4.044
-1.706 -4.108 -0.261
-7.308 5.296 2.431
Au La Sn
3 2 1
direct
0.544 0.544 0.089
0.303 0.803 0.606
0.699 0.699 0.397
0.125 0.125 0.249
0.869 0.369 0.738
0.460 0.960 0.921
```

Properties
ρ   10.3 g cm⁻³
Energy above the most stable polymorph in this dataset   95 meV/atom
Formation energy from the elements   -736 meV per atom

# 2
Entry from the Alexandria database: a geometry-optimized Li5Cd4 structure (PBE-GGA).

The structure in POSCAR format:
```
Li5Cd4
1.0
4.577 0.000 1.391
1.909 3.840 1.945
-0.500 1.283 9.868
Li Cd
5 4
direct
0.333 0.461 0.873
0.000 0.000 0.000
0.334 0.789 0.544
0.666 0.211 0.456
0.667 0.539 0.127
0.999 0.334 0.668
0.667 0.871 0.796
0.001 0.666 0.332
0.333 0.129 0.204
```

Properties
ρ   4.8 g cm⁻³
Energy above the most stable polymorph in this dataset   0 meV/atom
Formation energy from the elements   -236 meV per atom

# 3
Entry from the Alexandria database: a geometry-optimized Tb6Nd3Ho structure (PBE-GGA).

The structure in POSCAR format:
```
Tb6Nd3Ho
1.0
6.134 0.000 -2.490
-1.240 9.168 -3.054
-0.897 -0.529 6.593
Ho Tb Nd
1 6 3
direct
0.500 0.500 0.000
0.069 0.687 0.628
0.441 0.313 0.372
0.931 0.313 0.372
0.559 0.687 0.628
0.637 0.921 0.274
0.363 0.079 0.726
0.000 0.000 0.000
0.070 0.700 0.140
0.930 0.300 0.860
```

Properties
ρ   7.6 g cm⁻³
Energy above the most stable polymorph in this dataset   80 meV/atom
Formation energy from the elements   226 meV per atom

# 4
Entry from the Alexandria database: a geometry-optimized SmTeCl structure (PBE-GGA).

The structure in POSCAR format:
```
SmTeCl
1.0
-2.475 0.787 3.478
-5.375 -4.416 -2.825
-1.729 -7.958 3.282
Cl Sm Te
2 2 2
direct
0.842 0.530 0.817
0.158 0.470 0.183
0.755 0.767 0.991
0.245 0.233 0.009
0.381 0.086 0.738
0.619 0.914 0.262
```

Properties
ρ   4.5 g cm⁻³
Formation energy (no corrections)   -1.728 eV per atom

# 5
Entry from the Alexandria database: a geometry-optimized AcCu8Ag3 structure (PBE-GGA).

The structure in POSCAR format:
```
AcCu8Ag3
1.0
5.077 0.000 0.000
-2.538 4.397 0.000
0.000 0.000 8.518
Cu Ac Ag
8 1 3
direct
0.501 0.003 0.771
0.167 0.334 0.240
0.333 0.667 0.003
0.333 0.667 0.493
0.997 0.499 0.771
0.666 0.833 0.240
0.501 0.499 0.771
0.167 0.833 0.240
0.000 0.000 0.568
0.000 0.000 0.960
0.667 0.333 0.052
0.667 0.333 0.389
```

Properties
ρ   9.2 g cm⁻³
Formation energy from the elements   13 meV per atom

# 6
Entry from the Alexandria database: a geometry-optimized GePd6Se2 structure (PBE-GGA).

The structure in POSCAR format:
```
GePd6Se2
1.0
-1.990 3.104 -5.454
-1.103 -4.883 -2.377
-7.245 -1.077 5.575
Pd Se Ge
12 4 2
direct
0.790 0.305 0.290
0.290 0.195 0.790
0.710 0.805 0.210
0.772 0.660 0.513
0.210 0.695 0.710
0.661 0.173 0.549
0.272 0.840 0.013
0.339 0.827 0.451
0.228 0.340 0.487
0.161 0.327 0.049
0.839 0.673 0.951
0.728 0.160 0.987
0.063 0.593 0.243
0.937 0.407 0.757
0.563 0.907 0.743
0.437 0.093 0.257
0.000 0.000 0.500
0.500 0.500 0.000
```

Properties
ρ   9.1 g cm⁻³
Formation energy (no corrections)   -0.228 eV per atom

# 7
Entry from the Alexandria database: a geometry-optimized PuPa2Br8 structure (PBE-GGA).

The structure in POSCAR format:
```
PuPa2Br8
1.0
-0.757 1.232 5.735
5.598 -6.756 2.185
7.809 4.558 0.045
Pu Br Pa
1 8 2
direct
0.000 0.000 0.000
0.236 0.304 0.896
0.745 0.601 0.601
0.236 0.896 0.304
0.764 0.696 0.104
0.246 0.805 0.805
0.764 0.104 0.696
0.754 0.195 0.195
0.255 0.399 0.399
0.258 0.203 0.203
0.742 0.797 0.797
```

Properties
ρ   4.7 g cm⁻³
Formation energy (no corrections)   -1.186 eV per atom

# 8
Entry from the Alexandria database: a geometry-optimized Li2TlRu structure (PBE-GGA).

The structure in POSCAR format:
```
Li2TlRu
1.0
4.916 0.006 -0.032
4.106 2.702 -0.032
0.704 0.211 5.025
Li Tl Ru
2 1 1
direct
0.003 0.003 0.009
0.244 0.244 0.256
0.753 0.753 0.743
0.501 0.501 0.493
```

Properties
ρ   8.0 g cm⁻³
Formation energy from the elements   214 meV per atom

# 9
Entry from the Alexandria database: a geometry-optimized NaIn8Pb2 structure (PBE-GGA).

The structure in POSCAR format:
```
NaIn8Pb2
1.0
1.073 4.021 -1.733
3.978 -3.540 -5.750
-8.859 -1.157 -2.307
In Pb Na
8 2 1
direct
0.320 0.085 0.640
0.954 0.276 0.907
0.046 0.724 0.093
0.587 0.447 0.174
0.680 0.915 0.360
0.863 0.819 0.727
0.413 0.553 0.826
0.137 0.181 0.273
0.223 0.635 0.445
0.777 0.365 0.555
0.500 0.000 0.000
```

Properties
ρ   7.4 g cm⁻³
Formation energy from the elements   -19 meV per atom

# 10
Entry from the Alexandria database: a geometry-optimized TlH6IrPb structure (PBE-GGA).

The structure in POSCAR format:
```
TlH6IrPb
1.0
5.014 0.000 0.001
2.507 4.343 0.004
-0.004 0.000 5.331
Pb H Ir Tl
1 6 1 1
direct
0.666 0.667 0.339
0.485 0.030 0.732
0.654 0.172 0.357
0.177 0.646 0.349
0.485 0.489 0.727
0.026 0.489 0.726
0.175 0.173 0.355
0.334 0.332 0.533
0.998 0.002 0.882
```

Properties
ρ   8.7 g cm⁻³
E   -3.88 eV per atom

# 11
Entry from the Alexandria database: a geometry-optimized Pr3Al4Pd2 structure (PBE-GGA).

The structure in POSCAR format:
```
Pr3Al4Pd2
1.0
4.292 0.000 0.971
1.827 5.332 1.896
0.154 0.229 9.293
Al Pr Pd
4 3 2
direct
0.274 0.386 0.066
0.143 0.148 0.566
0.857 0.852 0.434
0.726 0.614 0.934
0.394 0.518 0.694
0.606 0.482 0.306
0.000 0.000 0.000
0.334 0.023 0.310
0.666 0.977 0.690
```

Properties
ρ   5.9 g cm⁻³
Formation energy from the elements   -623 meV per atom

# 12
Entry from the Alexandria database: a geometry-optimized K3Tl5Au6 structure (PBE-GGA).

The structure in POSCAR format:
```
K3Tl5Au6
1.0
-0.849 -2.770 3.855
8.543 -2.933 2.789
2.610 5.287 7.389
Tl Au K
5 6 3
direct
0.680 0.976 0.663
0.320 0.024 0.337
0.680 0.663 0.976
0.000 0.500 0.500
0.320 0.337 0.024
0.114 0.163 0.609
0.500 0.704 0.296
0.886 0.391 0.837
0.114 0.609 0.163
0.886 0.837 0.391
0.500 0.296 0.704
0.000 0.000 0.000
0.685 0.315 0.315
0.315 0.685 0.685
```

Properties
ρ   9.9 g cm⁻³
Formation energy from the elements   -199 meV per atom